(1)
The following is a DFT calculation (PBE) of a relaxed structure of La2YThS4.

Output
calculated total energy: -56.56 eV per cell
total magnetic moment: 0.0000 μB/atom
ΔE_f (raw): -2.04 eV per atom

abc: 7.054 4.047 7.061
angles: 90.00 109.24 90.00
Space group P2/m (No. 10)
Asymmetric unit:
La  0.000  0.000  0.000 (multiplicity 1)
La  0.000  0.500  0.500 (multiplicity 1)
Y  0.500  0.000  0.500 (multiplicity 1)
Th  0.500  0.500  0.000 (multiplicity 1)
S  0.261  0.000  0.747 (multiplicity 2)
S  0.266  0.500  0.261 (multiplicity 2)

=====

(2)
The following is a DFT calculation (PBE) of a relaxed structure of LaY3Th4S8.

Output
calculated total energy: -353.64 eV per cell
total magnetic moment: 0.0000 μB/atom
ΔE_f (raw): -1.93 eV per atom

abc: 7.9075 7.9075 20.1971
angles: 90.00 90.00 120.00
Space group R-3m (No. 166, hexagonal axes)
Asymmetric unit:
La  0.0000  0.0000  0.0000 (multiplicity 3)
Y  0.0000  0.5000  0.0000 (multiplicity 9)
Th  0.0000  0.0000  0.5000 (multiplicity 3)
Th  0.0000  0.5000  0.5000 (multiplicity 9)
S  0.0000  0.0000  0.2548 (multiplicity 6)
S  0.0085  0.5042  0.2530 (multiplicity 18)

=====

(3)
The following is a DFT calculation (PBE) of a relaxed structure of La3YTh2S6.

Output
calculated total energy: -170.21 eV per cell
total magnetic moment: 0.0001 μB/atom
ΔE_f (raw): -2.02 eV per atom

abc: 7.070 12.194 7.070
angles: 90.00 109.32 90.00
Space group C2/m (No. 12)
Asymmetric unit:
La  0.000  0.000  0.000 (multiplicity 2)
La  0.000  0.332  0.000 (multiplicity 4)
Y  0.000  0.500  0.500 (multiplicity 2)
Th  0.000  0.166  0.500 (multiplicity 4)
S  0.243  0.337  0.738 (multiplicity 8)
S  0.246  0.500  0.260 (multiplicity 4)

=====

(4)
The following is a DFT calculation (PBE) of a relaxed structure of La3Ti5S12.

Output
calculated total energy: -1081.90 eV per cell
total magnetic moment: 0.2399 μB/atom
ΔE_f (raw): -1.57 eV per atom

abc: 15.426 15.426 15.426
angles: 90.00 90.00 90.00
Space group Ia-3d (No. 230)
Asymmetric unit:
La  0.000  0.250  0.125 (multiplicity 24)
Ti  0.000  0.000  0.000 (multiplicity 16)
Ti  0.000  0.250  0.375 (multiplicity 24)
S  0.031  0.057  0.649 (multiplicity 96)

=====

(5)
The following is a DFT calculation (PBE) of a relaxed structure of La2TiS.

Output
calculated total energy: -96.09 eV per cell
total magnetic moment: 0.3215 μB/atom
ΔE_f (raw): -0.54 eV per atom

abc: 10.302 10.302 4.609
angles: 90.00 90.00 90.00
Space group I-42d (No. 122)
Asymmetric unit:
La  0.105  0.750  0.125 (multiplicity 8)
Ti  0.000  0.000  0.500 (multiplicity 4)
S  0.000  0.000  0.000 (multiplicity 4)

=====

(6)
The following is a DFT calculation (PBE) of a relaxed structure of LaTi3S.

Output
calculated total energy: -34.32 eV per cell
distance to the lowest polymorph of the same formula: 0 meV per atom
total magnetic moment: 0.0001 μB/atom
ΔE_f (raw): -0.32 eV per atom

abc: 4.698 4.698 4.698
angles: 90.00 90.00 90.00
Space group Pm-3m (No. 221)
Asymmetric unit:
La  0.000  0.000  0.000 (multiplicity 1)
Ti  0.000  0.500  0.500 (multiplicity 3)
S  0.500  0.500  0.500 (multiplicity 1)

=====

(7)
The following is a DFT calculation (PBE) of a relaxed structure of LaTi3S.

Output
calculated total energy: -25.93 eV per cell
distance to the lowest polymorph of the same formula: 1677 meV per atom
total magnetic moment: 0.0000 μB/atom
ΔE_f (raw): 1.36 eV per atom

abc: 4.786 4.786 4.786
angles: 90.00 90.00 90.00
Space group Pm-3m (No. 221)
Asymmetric unit:
La  0.000  0.000  0.000 (multiplicity 1)
Ti  0.000  0.000  0.500 (multiplicity 3)
S  0.500  0.500  0.500 (multiplicity 1)

=====

(8)
The following is a DFT calculation (PBE) of a relaxed structure of La3TiS.

Output
calculated total energy: -28.81 eV per cell
distance to the lowest polymorph of the same formula: 0 meV per atom
total magnetic moment: 0.4414 μB/atom
ΔE_f (raw): -0.40 eV per atom

abc: 5.516 5.516 5.516
angles: 90.00 90.00 90.00
Space group Pm-3m (No. 221)
Asymmetric unit:
La  0.000  0.000  0.500 (multiplicity 3)
Ti  0.500  0.500  0.500 (multiplicity 1)
S  0.000  0.000  0.000 (multiplicity 1)

=====

(9)
The following is a DFT calculation (PBE) of a relaxed structure of LaTiTlS4.

Output
calculated total energy: -83.16 eV per cell
total magnetic moment: 0.0000 μB/atom
ΔE_f (raw): -1.41 eV per atom

abc: 6.937 6.683 8.865
angles: 90.00 107.40 90.00
Space group P2_1/m (No. 11)
Asymmetric unit:
La  0.228  0.250  0.055 (multiplicity 2)
Ti  0.223  0.750  0.818 (multiplicity 2)
Tl  0.286  0.250  0.569 (multiplicity 2)
S  0.001  0.007  0.785 (multiplicity 4)
S  0.419  0.750  0.070 (multiplicity 2)
S  0.427  0.750  0.662 (multiplicity 2)

=====

(10)
The following is a DFT calculation (PBE) of a relaxed structure of LaTiV2S.

Output
calculated total energy: -27.54 eV per cell
total magnetic moment: 0.3738 μB/atom
ΔE_f (raw): 1.53 eV per atom

abc: 4.629 4.629 5.338
angles: 90.00 90.00 90.00
Space group P4/mmm (No. 123)
Asymmetric unit:
La  0.000  0.000  0.000 (multiplicity 1)
Ti  0.500  0.500  0.500 (multiplicity 1)
V  0.000  0.500  0.000 (multiplicity 2)
S  0.000  0.000  0.500 (multiplicity 1)

=====

(11)
The following is a DFT calculation (PBE) of a relaxed structure of La4Tl2S.

Output
calculated total energy: -68.78 eV per cell
total magnetic moment: 0.0000 μB/atom
ΔE_f (raw): -0.83 eV per atom

abc: 13.161 4.269 9.463
angles: 90.00 122.21 90.00
Space group C2/m (No. 12)
Asymmetric unit:
La  0.084  0.000  0.348 (multiplicity 4)
La  0.164  0.500  0.069 (multiplicity 4)
Tl  0.130  0.500  0.665 (multiplicity 4)
S  0.000  0.000  0.000 (multiplicity 2)

=====

(12)
The following is a DFT calculation (PBE) of a relaxed structure of La2TlS.

Output
calculated total energy: -77.16 eV per cell
distance to the lowest polymorph of the same formula: 488 meV per atom
total magnetic moment: 0.0000 μB/atom
ΔE_f (raw): -0.74 eV per atom

abc: 6.799 6.799 13.882
angles: 90.00 90.00 90.00
Space group I-42d (No. 122)
Asymmetric unit:
La  0.202  0.250  0.125 (multiplicity 8)
Tl  0.000  0.000  0.500 (multiplicity 4)
S  0.000  0.000  0.000 (multiplicity 4)

=====

(13)
The following is a DFT calculation (PBE) of a relaxed structure of LaTl2S2.

Output
calculated total energy: -44.35 eV per cell
total magnetic moment: 0.0000 μB/atom
ΔE_f (raw): -0.85 eV per atom

abc: 7.666 7.666 4.932
angles: 90.00 90.00 90.00
Space group P4/mbm (No. 127)
Asymmetric unit:
La  0.000  0.000  0.000 (multiplicity 2)
Tl  0.153  0.347  0.500 (multiplicity 4)
S  0.174  0.674  0.000 (multiplicity 4)

=====

(14)
The following is a DFT calculation (PBE) of a relaxed structure of La2TlS4.

Output
calculated total energy: -77.01 eV per cell
total magnetic moment: 0.0000 μB/atom
ΔE_f (raw): -1.40 eV per atom

abc: 7.547 7.427 7.876
angles: 90.00 103.13 90.00
Space group P2_1/m (No. 11)
Asymmetric unit:
La  0.158  0.250  0.036 (multiplicity 2)
La  0.181  0.250  0.537 (multiplicity 2)
Tl  0.314  0.750  0.847 (multiplicity 2)
S  0.005  0.001  0.746 (multiplicity 4)
S  0.433  0.250  0.853 (multiplicity 2)
S  0.438  0.250  0.341 (multiplicity 2)

=====

(15)
The following is a DFT calculation (PBE) of a relaxed structure of LaTl2S4.

Output
calculated total energy: -30.64 eV per cell
total magnetic moment: 0.0000 μB/atom
ΔE_f (raw): -0.64 eV per atom

abc: 6.009 6.009 6.532
angles: 90.00 90.00 90.00
Space group P-42m (No. 111)
Asymmetric unit:
La  0.000  0.000  0.000 (multiplicity 1)
Tl  0.000  0.500  0.500 (multiplicity 2)
S  0.262  0.262  0.255 (multiplicity 4)

=====

(16)
The following is a DFT calculation (PBE) of a relaxed structure of LaTlS14.

Output
calculated total energy: -276.39 eV per cell
total magnetic moment: 0.0000 μB/atom
ΔE_f (raw): -0.25 eV per atom

abc: 18.700 7.882 16.511
angles: 90.00 124.04 90.00
Space group C2/c (No. 15)
Asymmetric unit:
La  0.000  0.000  0.000 (multiplicity 4)
Tl  0.000  0.259  0.250 (multiplicity 4)
S  0.036  0.304  0.828 (multiplicity 8)
S  0.083  0.370  0.520 (multiplicity 8)
S  0.088  0.478  0.116 (multiplicity 8)
S  0.125  0.064  0.446 (multiplicity 8)
S  0.135  0.088  0.200 (multiplicity 8)
S  0.144  0.154  0.892 (multiplicity 8)
S  0.147  0.242  0.109 (multiplicity 8)

=====

(17)
The following is a DFT calculation (PBE) of a relaxed structure of La3TlS6.

Output
calculated total energy: -234.94 eV per cell
total magnetic moment: 0.0000 μB/atom
ΔE_f (raw): -1.68 eV per atom

abc: 11.217 14.128 6.912
angles: 90.00 90.00 90.00
Space group Cmc2_1 (No. 36)
Asymmetric unit:
La  0.000  0.099  0.000 (multiplicity 4)
La  0.188  0.400  0.926 (multiplicity 8)
Tl  0.000  0.303  0.393 (multiplicity 4)
S  0.000  0.281  0.754 (multiplicity 4)
S  0.000  0.469  0.226 (multiplicity 4)
S  0.161  0.023  0.714 (multiplicity 8)
S  0.172  0.232  0.193 (multiplicity 8)

=====

(18)
The following is a DFT calculation (PBE) of a relaxed structure of La3TlS4.

Output
calculated total energy: -47.86 eV per cell
total magnetic moment: 0.0000 μB/atom
ΔE_f (raw): -1.78 eV per atom

abc: 5.945 5.945 5.945
angles: 90.00 90.00 90.00
Space group Pm-3m (No. 221)
Asymmetric unit:
La  0.000  0.000  0.500 (multiplicity 3)
Tl  0.500  0.500  0.500 (multiplicity 1)
S  0.000  0.000  0.000 (multiplicity 1)
S  0.000  0.500  0.500 (multiplicity 3)

=====

(19)
The following is a DFT calculation (PBE) of a relaxed structure of La2TlS.

Output
calculated total energy: -63.73 eV per cell
distance to the lowest polymorph of the same formula: 0 meV per atom
total magnetic moment: 0.0000 μB/atom
ΔE_f (raw): -1.22 eV per atom

abc: 4.1449 4.1449 24.4843
angles: 90.00 90.00 120.00
Space group R-3m (No. 166, hexagonal axes)
Asymmetric unit:
La  0.0000  0.0000  0.2354 (multiplicity 6)
Tl  0.0000  0.0000  0.0000 (multiplicity 3)
S  0.0000  0.0000  0.5000 (multiplicity 3)